No. 1
{"formula": "AlCdGa", "functional": "PBE", "state": "relaxed", "delta_e_f_ev_per_atom": 0.07, "m_tot_mub_per_fu": 0.00, "crystal_system": "orthorhombic", "relative_energy_mev_per_atom": 17, "final_energy_ev_per_cell": -29.9, "lattice": [[-0.5368, -6.4632, -2.9332], [1.2333, -1.7762, 3.6881], [-7.5333, -0.4247, 2.3146]], "species": ["Al", "Al", "Al", "Al", "Ga", "Ga", "Ga", "Ga", "Cd", "Cd", "Cd", "Cd"], "frac_coords": [[0.8702, 0.2500, 0.4602], [0.6298, 0.7500, 0.9602], [0.1298, 0.7500, 0.5398], [0.3702, 0.2500, 0.0398], [0.2331, 0.2500, 0.3491], [0.2669, 0.7500, 0.8491], [0.7669, 0.7500, 0.6509], [0.7331, 0.2500, 0.1509], [0.9675, 0.2500, 0.8505], [0.5325, 0.7500, 0.3505], [0.0325, 0.7500, 0.1495], [0.4675, 0.2500, 0.6495]]}

---

No. 2
{"formula": "AlCd2Ga", "functional": "PBE", "state": "relaxed", "delta_e_f_ev_per_atom": 0.11, "m_tot_mub_per_fu": 0.00, "crystal_system": "tetragonal", "relative_energy_mev_per_atom": 0, "final_energy_ev_per_cell": -8.2, "lattice": [[3.1046, 0.0000, 0.0000], [0.0000, 3.1046, 0.0000], [0.0000, 0.0000, 8.5101]], "species": ["Al", "Ga", "Cd", "Cd"], "frac_coords": [[0.5000, 0.5000, 0.5000], [0.5000, 0.5000, 0.0000], [0.0000, 0.0000, 0.7453], [0.0000, 0.0000, 0.2547]]}

---

No. 3
{"formula": "AlCdGa3", "functional": "PBE", "state": "relaxed", "delta_e_f_ev_per_atom": 0.63, "m_tot_mub_per_fu": 0.00, "crystal_system": "cubic", "relative_energy_mev_per_atom": 571, "final_energy_ev_per_cell": -10.6, "lattice": [[5.1477, 0.0000, 0.0000], [0.0000, 5.1477, 0.0000], [0.0000, 0.0000, 5.1477]], "species": ["Al", "Ga", "Ga", "Ga", "Cd"], "frac_coords": [[0.5000, 0.5000, 0.5000], [0.0000, 0.5000, 0.0000], [0.0000, 0.0000, 0.5000], [0.5000, 0.0000, 0.0000], [0.0000, 0.0000, 0.0000]]}

---

No. 4
{"formula": "AlCdGa", "functional": "PBE", "state": "relaxed", "delta_e_f_ev_per_atom": 0.06, "m_tot_mub_per_fu": 0.00, "crystal_system": "triclinic", "relative_energy_mev_per_atom": 7, "final_energy_ev_per_cell": -15.0, "lattice": [[0.0321, 2.2447, 2.3115], [-3.6020, -1.4076, 3.0778], [4.1345, -4.8252, 4.4567]], "species": ["Al", "Al", "Ga", "Ga", "Cd", "Cd"], "frac_coords": [[0.1363, 0.2379, 0.9298], [0.8637, 0.7621, 0.0702], [0.3960, 0.7116, 0.7826], [0.6040, 0.2884, 0.2174], [0.3213, 0.7897, 0.3997], [0.6787, 0.2103, 0.6003]]}

---

No. 5
{"formula": "Al2CdGa6", "functional": "PBE", "state": "relaxed", "delta_e_f_ev_per_atom": 0.05, "m_tot_mub_per_fu": 0.00, "crystal_system": "monoclinic", "relative_energy_mev_per_atom": 8, "final_energy_ev_per_cell": -26.1, "lattice": [[2.8757, 0.0000, 0.0000], [1.4378, 6.2020, 0.4719], [1.4378, 1.6837, 9.7885]], "species": ["Al", "Al", "Cd", "Ga", "Ga", "Ga", "Ga", "Ga", "Ga"], "frac_coords": [[0.3463, 0.0485, 0.2589], [0.6537, 0.9515, 0.7411], [0.0000, 0.0000, 0.0000], [0.7193, 0.4355, 0.1259], [0.2807, 0.5645, 0.8741], [0.3453, 0.7648, 0.5445], [0.0226, 0.6457, 0.3090], [0.9774, 0.3543, 0.6910], [0.6547, 0.2352, 0.4555]]}

---

No. 6
{"formula": "Al2Cd2Ga", "functional": "PBE", "state": "relaxed", "delta_e_f_ev_per_atom": 0.20, "m_tot_mub_per_fu": 0.00, "crystal_system": "tetragonal", "relative_energy_mev_per_atom": 12, "final_energy_ev_per_cell": -22.7, "lattice": [[8.5916, 0.0000, 0.0000], [0.0000, 8.5916, 0.0000], [0.0000, 0.0000, 2.8667]], "species": ["Al", "Al", "Al", "Al", "Ga", "Ga", "Cd", "Cd", "Cd", "Cd"], "frac_coords": [[0.1200, 0.6200, 0.5000], [0.6200, 0.8800, 0.5000], [0.8800, 0.3800, 0.5000], [0.3800, 0.1200, 0.5000], [0.0000, 0.0000, 0.0000], [0.5000, 0.5000, 0.0000], [0.3229, 0.8229, 0.0000], [0.8229, 0.6771, 0.0000], [0.6771, 0.1771, 0.0000], [0.1771, 0.3229, 0.0000]]}

---

No. 7
{"formula": "AlCdGa2", "functional": "PBE", "state": "relaxed", "delta_e_f_ev_per_atom": 0.15, "m_tot_mub_per_fu": 0.00, "crystal_system": "tetragonal", "relative_energy_mev_per_atom": 108, "final_energy_ev_per_cell": -20.3, "lattice": [[-2.6323, -3.3918, 0.9719], [2.9756, -2.7856, -1.6624], [3.9001, -3.7516, 7.4393]], "species": ["Al", "Al", "Ga", "Ga", "Ga", "Ga", "Cd", "Cd"], "frac_coords": [[0.5000, 0.5000, 0.0000], [0.2500, 0.7500, 0.5000], [0.5997, 0.1250, 0.2500], [0.1503, 0.6250, 0.2500], [0.3750, 0.4003, 0.7500], [0.8750, 0.8497, 0.7500], [0.0000, 0.0000, 0.0000], [0.7500, 0.2500, 0.5000]]}

---

No. 8
{"formula": "AlCdGa", "functional": "PBE", "state": "relaxed", "delta_e_f_ev_per_atom": 0.07, "m_tot_mub_per_fu": 0.00, "crystal_system": "monoclinic", "relative_energy_mev_per_atom": 17, "final_energy_ev_per_cell": -14.9, "lattice": [[5.3075, 0.0000, -0.1244], [0.0000, 2.9386, 0.0000], [-0.4725, 0.0000, 7.5413]], "species": ["Al", "Al", "Ga", "Ga", "Cd", "Cd"], "frac_coords": [[0.7652, 0.2500, 0.0114], [0.2348, 0.7500, 0.9886], [0.0595, 0.2500, 0.6680], [0.9405, 0.7500, 0.3320], [0.4364, 0.2500, 0.3200], [0.5636, 0.7500, 0.6800]]}

---

No. 9
{"formula": "Al2Cd2Ga", "functional": "PBE", "state": "relaxed", "delta_e_f_ev_per_atom": 0.21, "m_tot_mub_per_fu": 0.00, "crystal_system": "tetragonal", "relative_energy_mev_per_atom": 19, "final_energy_ev_per_cell": -11.3, "lattice": [[3.9867, 0.0000, 0.0000], [0.0000, 3.9867, 0.0000], [1.9933, 1.9933, 6.8912]], "species": ["Al", "Al", "Ga", "Cd", "Cd"], "frac_coords": [[0.7500, 0.2500, 0.5000], [0.2500, 0.7500, 0.5000], [0.0000, 0.0000, 0.0000], [0.3979, 0.3979, 0.2042], [0.6021, 0.6021, 0.7958]]}

---

No. 10
{"formula": "AlCd2Ga2", "functional": "PBE", "state": "relaxed", "delta_e_f_ev_per_atom": 0.04, "m_tot_mub_per_fu": 0.00, "crystal_system": "trigonal", "relative_energy_mev_per_atom": 0, "final_energy_ev_per_cell": -11.4, "lattice": [[-0.8936, -2.8163, -0.4112], [0.9782, -2.1554, 1.8156], [-10.0727, 0.3972, 8.3491]], "species": ["Al", "Cd", "Cd", "Ga", "Ga"], "frac_coords": [[0.0000, 0.0000, 0.0000], [0.8701, 0.8701, 0.3896], [0.1299, 0.1299, 0.6104], [0.3938, 0.3938, 0.8185], [0.6062, 0.6062, 0.1815]]}

---

No. 11
{"formula": "AlCdGa2", "functional": "PBE", "state": "relaxed", "delta_e_f_ev_per_atom": 0.10, "m_tot_mub_per_fu": 0.00, "crystal_system": "trigonal", "relative_energy_mev_per_atom": 63, "final_energy_ev_per_cell": -10.3, "lattice": [[4.4158, 0.0000, 0.0000], [2.2079, 3.8242, 0.0000], [2.2079, 1.2747, 5.0226]], "species": ["Al", "Cd", "Ga", "Ga"], "frac_coords": [[0.6804, 0.6804, 0.9589], [0.4910, 0.4910, 0.5269], [0.0643, 0.0643, 0.8071], [0.2643, 0.2643, 0.2070]]}

---

No. 12
{"formula": "AlCdGa2", "functional": "PBE", "state": "relaxed", "delta_e_f_ev_per_atom": 0.12, "m_tot_mub_per_fu": 0.00, "crystal_system": "cubic", "relative_energy_mev_per_atom": 78, "final_energy_ev_per_cell": -10.2, "lattice": [[0.0000, 3.4130, 3.4130], [3.4130, 0.0000, 3.4130], [3.4130, 3.4130, 0.0000]], "species": ["Al", "Ga", "Ga", "Cd"], "frac_coords": [[0.0000, 0.0000, 0.0000], [0.2500, 0.2500, 0.2500], [0.7500, 0.7500, 0.7500], [0.5000, 0.5000, 0.5000]]}